(1)
Computed, not measured: a relaxed structure of ZnCoSn at the PBE level of DFT.

- final energy (eV for the cell shown) = -50.26
- V (Å³/f.u.) = 51.50
- energy of formation from the pure elements (eV per atom) = -0.06

Cell: 4.299 5.536 8.656 Å, 90.00 90.00 90.00°
Fractional coordinates of all 12 atoms:
Sn1 0.500 0.500 0.573
Sn2 0.000 0.500 0.286
Sn3 0.000 0.000 0.786
Sn4 0.500 0.000 0.073
Co1 0.500 0.749 0.819
Co2 0.500 0.249 0.319
Co3 0.500 0.751 0.319
Co4 0.500 0.251 0.819
Zn1 0.000 0.500 0.854
Zn2 0.000 0.000 0.354
Zn3 0.500 0.000 0.560
Zn4 0.500 0.500 0.060

***

(2)
Computed, not measured: a relaxed structure of Zn2Co2Sn at the PBE level of DFT.

- final energy (eV for the cell shown) = -19.17
- V (Å³/f.u.) = 80.75
- energy of formation from the pure elements (eV per atom) = 0.32

Cell: 3.580 3.580 6.792 Å, 74.72 74.72 90.00°
Fractional coordinates of all 5 atoms:
Co1 0.750 0.250 0.500
Co2 0.250 0.750 0.500
Zn1 0.611 0.611 0.779
Zn2 0.389 0.389 0.221
Sn1 0.000 0.000 0.000

***

(3)
Computed, not measured: a relaxed structure of ZnCoSn at the PBE level of DFT.

- final energy (eV for the cell shown) = -25.05
- V (Å³/f.u.) = 50.85
- energy of formation from the pure elements (eV per atom) = -0.05

Cell: 5.067 4.171 5.072 Å, 90.00 108.45 90.00°
Fractional coordinates of all 6 atoms:
Sn1 0.399 0.250 0.670
Sn2 0.601 0.750 0.330
Co1 0.118 0.750 0.398
Co2 0.882 0.250 0.602
Zn1 0.929 0.250 0.114
Zn2 0.071 0.750 0.886

***

(4)
Computed, not measured: a relaxed structure of ZnCoSn3 at the PBE level of DFT.

- final energy (eV for the cell shown) = -19.53
- V (Å³/f.u.) = 119.92
- energy of formation from the pure elements (eV per atom) = 0.17

Cell: 4.931 4.931 4.931 Å, 90.00 90.00 90.00°
Fractional coordinates of all 5 atoms:
Zn1 0.500 0.500 0.500
Sn1 0.000 0.500 0.000
Sn2 0.000 0.000 0.500
Sn3 0.500 0.000 0.000
Co1 0.000 0.000 0.000

***

(5)
Computed, not measured: a relaxed structure of ZnCo2Sn2 at the PBE level of DFT.

- final energy (eV for the cell shown) = -22.32
- V (Å³/f.u.) = 92.65
- energy of formation from the pure elements (eV per atom) = 0.23

Cell: 3.357 3.357 8.559 Å, 78.69 78.69 90.00°
Fractional coordinates of all 5 atoms:
Co1 0.750 0.250 0.500
Co2 0.250 0.750 0.500
Sn1 0.620 0.620 0.759
Sn2 0.380 0.380 0.241
Zn1 0.000 0.000 0.000

***

(6)
Computed, not measured: a relaxed structure of ZnCoSn2 at the PBE level of DFT.

- final energy (eV for the cell shown) = -31.66
- V (Å³/f.u.) = 89.41
- energy of formation from the pure elements (eV per atom) = 0.14

Cell: 8.660 8.660 6.572 Å, 48.78 48.78 90.00°
Fractional coordinates of all 8 atoms:
Sn1 0.500 0.125 0.250
Sn2 0.875 0.750 0.750
Sn3 0.375 0.500 0.750
Sn4 0.250 0.625 0.250
Co1 0.250 0.750 0.500
Co2 0.500 0.500 0.000
Zn1 0.750 0.250 0.500
Zn2 0.000 0.000 0.000

***

(7)
Computed, not measured: a relaxed structure of ZnCoSn at the PBE level of DFT.

- final energy (eV for the cell shown) = -11.76
- V (Å³/f.u.) = 48.93
- energy of formation from the pure elements (eV per atom) = 0.21

Cell: 3.190 4.209 4.209 Å, 120.00 90.00 90.00°
Fractional coordinates of all 3 atoms:
Sn1 0.666 0.667 0.333
Co1 0.167 0.333 0.667
Zn1 0.167 0.000 0.000

***

(8)
Computed, not measured: a relaxed structure of ZnCoSn at the PBE level of DFT.

- final energy (eV for the cell shown) = -23.94
- V (Å³/f.u.) = 52.80
- energy of formation from the pure elements (eV per atom) = 0.14

Cell: 4.877 5.280 5.282 Å, 72.37 62.08 62.09°
Fractional coordinates of all 6 atoms:
Sn1 0.961 0.768 0.955
Sn2 0.461 0.268 0.455
Co1 0.461 0.268 0.955
Co2 0.961 0.268 0.955
Zn1 0.211 0.919 0.304
Zn2 0.711 0.617 0.606

***

(9)
Computed, not measured: a relaxed structure of ZnCoSn at the PBE level of DFT.

- final energy (eV for the cell shown) = -50.32
- V (Å³/f.u.) = 51.36
- energy of formation from the pure elements (eV per atom) = -0.07

Cell: 4.186 5.951 8.247 Å, 90.00 90.00 90.00°
Fractional coordinates of all 12 atoms:
Sn1 0.250 0.742 0.364
Sn2 0.750 0.258 0.636
Sn3 0.250 0.758 0.864
Sn4 0.750 0.242 0.136
Zn1 0.750 0.747 0.633
Zn2 0.250 0.253 0.367
Zn3 0.750 0.753 0.133
Zn4 0.250 0.247 0.867
Co1 0.250 0.499 0.111
Co2 0.250 0.001 0.611
Co3 0.750 0.501 0.889
Co4 0.750 0.999 0.389

***

(10)
Computed, not measured: a relaxed structure of Zn2CoSn2 at the PBE level of DFT.

- final energy (eV for the cell shown) = -32.26
- V (Å³/f.u.) = 99.18
- energy of formation from the pure elements (eV per atom) = 0.31

Cell: 6.865 6.865 4.208 Å, 90.00 90.00 90.00°
Fractional coordinates of all 10 atoms:
Zn1 0.859 0.359 0.500
Zn2 0.359 0.141 0.500
Zn3 0.141 0.641 0.500
Zn4 0.641 0.859 0.500
Sn1 0.833 0.667 0.000
Sn2 0.167 0.333 0.000
Sn3 0.667 0.167 0.000
Sn4 0.333 0.833 0.000
Co1 0.500 0.500 0.000
Co2 0.000 0.000 0.000

***

(11)
Computed, not measured: a relaxed structure of Zn2Co2Sn at the PBE level of DFT.

- final energy (eV for the cell shown) = -40.66
- V (Å³/f.u.) = 73.58
- energy of formation from the pure elements (eV per atom) = 0.09

Cell: 6.613 6.613 3.365 Å, 90.00 90.00 90.00°
Fractional coordinates of all 10 atoms:
Co1 0.858 0.642 0.000
Co2 0.142 0.358 0.000
Co3 0.642 0.142 0.000
Co4 0.358 0.858 0.000
Zn1 0.148 0.648 0.500
Zn2 0.352 0.148 0.500
Zn3 0.648 0.852 0.500
Zn4 0.852 0.352 0.500
Sn1 0.500 0.500 0.000
Sn2 0.000 0.000 0.000

***

(12)
Computed, not measured: a relaxed structure of ZnCoSn at the PBE level of DFT.

- final energy (eV for the cell shown) = -12.09
- V (Å³/f.u.) = 46.70
- energy of formation from the pure elements (eV per atom) = 0.10

Cell: 3.296 3.296 4.890 Å, 109.70 109.70 90.00°
Fractional coordinates of all 3 atoms:
Zn1 0.633 0.633 0.266
Sn1 0.943 0.943 0.886
Co1 0.274 0.274 0.548